Ce4BPb2: optimized geometry, GGA-PBE.

Cell lengths 5.007, 5.007, 8.997 Å; angles 106.16, 106.16, 90.00 degrees
Each line ends with the local moment (μB).
Fractional coordinates of all 7 atoms:
Pb (0.639, 0.639, 0.277)  -0.03
Pb (0.361, 0.361, 0.723)  -0.03
B (0.000, 0.000, 0.000)  -0.04
Ce (0.163, 0.163, 0.325)  0.85
Ce (0.000, 0.500, 0.000)  0.31
Ce (0.500, 0.000, 0.000)  0.31
Ce (0.837, 0.837, 0.675)  0.85

## Properties
V = 29.62 Å³ per atom
DOS(E_F) = 17.3 states/eV/cell
formation energy = -253 meV/atom
final energy = -39.60 eV per cell

Ce2NiRu: optimized geometry, GGA-PBE.

Cell lengths 3.381, 4.896, 4.896 Å; angles 90.00, 90.00, 90.00 degrees
Each line ends with the local moment (μB).
Fractional coordinates of all 4 atoms:
Ce (0.000, 0.000, 0.500)  0.31
Ce (0.000, 0.500, 0.000)  0.31
Ru (0.500, 0.000, 0.000)  -0.05
Ni (0.500, 0.500, 0.500)  -0.02

## Properties
V = 20.26 Å³ per atom
DOS(E_F) = 8.2 states/eV/cell
formation energy = -267 meV/atom
final energy = -27.99 eV per cell